No. 1
Entry from Alexandria: a geometry-optimized Tb3Ce2PrHo6 structure (PBE).

## Properties
DOS(E_F): 1.80 states/eV per atom
Volume: 31.5 A^3/atom
Total moment: 1.8 μB/cell
ΔE_f: 49 meV/atom

Cell: 6.147 6.147 11.725 Å, 95.01 95.01 120.00°
Last column: magnetic moment on the atom in μB.
Fractional positions:
Ho: 0.084 0.420 0.250  0.01
Ho: 0.580 0.916 0.750  0.01
Ho: 0.420 0.084 0.250  0.01
Ho: 0.252 0.252 0.750  0.01
Ho: 0.748 0.748 0.250  0.01
Ho: 0.916 0.580 0.750  0.01
Tb: 0.166 0.834 0.500  -0.02
Tb: 0.834 0.166 0.500  -0.02
Tb: 0.500 0.500 0.500  -0.02
Ce: 0.333 0.667 0.000  0.73
Ce: 0.667 0.333 0.000  0.73
Pr: 0.000 0.000 0.000  0.00

=====

No. 2
Entry from Alexandria: a geometry-optimized Ti4SnSb structure (PBE).

## Properties
DOS(E_F): 1.16 states/eV per atom
ΔE_f (raw): -0.073 eV per atom
Volume: 20.5 A^3/atom
Distance to the lowest polymorph of the same formula: 0.000 eV per atom
Total moment: 4.2 μB/cell

Cell: 5.136 6.696 7.679 Å, 98.81 109.53 89.99°
Last column: magnetic moment on the atom in μB.
Fractional positions:
Ti: 0.687 0.416 0.129  0.48
Ti: 0.973 0.104 0.309  0.42
Ti: 0.441 0.916 0.129  0.48
Ti: 0.313 0.584 0.871  0.48
Ti: 0.027 0.896 0.691  0.42
Ti: 0.559 0.084 0.871  0.48
Ti: 0.335 0.604 0.309  0.39
Ti: 0.665 0.396 0.691  0.39
Sb: 0.000 0.500 0.500  -0.02
Sb: 0.500 0.000 0.500  -0.02
Sn: 0.877 0.750 0.000  -0.03
Sn: 0.123 0.250 0.000  -0.03

=====

No. 3
Entry from Alexandria: a geometry-optimized CePmPaGa structure (PBE).

## Properties
DOS(E_F): 2.15 states/eV per atom
Volume: 25.6 A^3/atom
Total moment: 1.7 μB/cell
ΔE_f: 104 meV/atom

Cell: 5.250 5.250 5.250 Å, 60.00 60.00 60.00°
Last column: magnetic moment on the atom in μB.
Fractional positions:
Ga: 0.500 0.500 0.500  -0.03
Pm: 0.750 0.750 0.750  0.10
Ce: 0.250 0.250 0.250  0.61
Pa: 0.000 0.000 0.000  0.71

=====

No. 4
Entry from Alexandria: a geometry-optimized SmH8Ir2Rh structure (PBE).

## Properties
DOS(E_F): 0.40 states/eV per atom
Volume: 8.9 A^3/atom
E: -4.863 eV per atom
Total moment: 0.0 μB/cell

Cell: 4.709 4.709 6.206 Å, 67.71 67.71 60.00°
Fractional positions:
H: 0.082 0.359 0.815
H: 0.641 0.256 0.185
H: 0.182 0.182 0.454
H: 0.256 0.918 0.185
H: 0.744 0.082 0.815
H: 0.359 0.744 0.815
H: 0.818 0.818 0.546
H: 0.918 0.641 0.185
Ir: 0.279 0.279 0.164
Ir: 0.721 0.721 0.836
Sm: 0.500 0.500 0.500
Rh: 0.000 0.000 0.000

=====

No. 5
Entry from Alexandria: a geometry-optimized La5SnPd2 structure (PBE).

## Properties
DOS(E_F): 0.93 states/eV per atom
Volume: 29.8 A^3/atom
Total moment: 0.0 μB/cell
ΔE_f: -646 meV/atom

Cell: 8.272 8.272 9.098 Å, 117.04 117.04 90.00°
Fractional positions:
La: 0.000 0.000 0.000
La: 0.301 0.801 0.284
La: 0.500 0.500 0.000
La: 0.483 0.301 0.284
La: 0.801 0.983 0.284
La: 0.699 0.199 0.716
La: 0.199 0.017 0.716
La: 0.983 0.483 0.284
La: 0.517 0.699 0.716
La: 0.017 0.517 0.716
Sn: 0.750 0.750 0.500
Sn: 0.250 0.250 0.500
Pd: 0.132 0.368 0.000
Pd: 0.368 0.868 0.000
Pd: 0.868 0.632 0.000
Pd: 0.632 0.132 0.000

=====

No. 6
Entry from Alexandria: a geometry-optimized Pm2Ni2Hg3 structure (PBE).

## Properties
DOS(E_F): 0.75 states/eV per atom
Volume: 22.5 A^3/atom
Total moment: 0.0 μB/cell
ΔE_f: -344 meV/atom

Cell: 3.800 4.093 10.326 Å, 101.43 90.00 90.00°
Fractional positions:
Pm: 0.000 0.170 0.340
Pm: 0.000 0.830 0.660
Hg: 0.500 0.421 0.841
Hg: 0.000 0.000 0.000
Hg: 0.500 0.579 0.159
Ni: 0.500 0.717 0.434
Ni: 0.500 0.283 0.566

=====

No. 7
Entry from Alexandria: a geometry-optimized Ho2TmCd5 structure (PBE).

## Properties
DOS(E_F): 0.44 states/eV per atom
Volume: 24.3 A^3/atom
Total moment: 0.0 μB/cell
ΔE_f: -286 meV/atom

Cell: 5.097 5.097 8.295 Å, 107.89 107.89 90.00°
Fractional positions:
Tm: 0.000 0.000 0.000
Ho: 0.741 0.741 0.481
Ho: 0.259 0.259 0.519
Cd: 0.619 0.119 0.238
Cd: 0.381 0.881 0.762
Cd: 0.500 0.500 0.000
Cd: 0.881 0.381 0.762
Cd: 0.119 0.619 0.238

=====

No. 8
Entry from Alexandria: a geometry-optimized Nd3MgIn2 structure (PBE).

## Properties
DOS(E_F): 0.89 states/eV per atom
Volume: 29.2 A^3/atom
Distance to the lowest polymorph of the same formula: 0.000 eV per atom
Total moment: 0.0 μB/cell
ΔE_f: -387 meV/atom

Cell: 5.487 5.487 13.428 Å, 90.00 90.00 120.00°
Fractional positions:
Nd: 0.667 0.333 0.582
Nd: 0.000 0.000 0.248
Nd: 0.333 0.667 0.919
Nd: 0.000 0.000 0.752
Nd: 0.667 0.333 0.081
Nd: 0.333 0.667 0.418
In: 0.000 0.000 0.500
In: 0.333 0.667 0.174
In: 0.000 0.000 0.000
In: 0.667 0.333 0.826
Mg: 0.667 0.333 0.332
Mg: 0.333 0.667 0.668

=====

No. 9
Entry from Alexandria: a geometry-optimized Nd8Hg2Bi structure (PBE).

## Properties
DOS(E_F): 1.04 states/eV per atom
Volume: 33.1 A^3/atom
Total moment: 0.0 μB/cell
ΔE_f: -265 meV/atom

Cell: 5.266 7.350 9.930 Å, 100.47 105.38 90.00°
Fractional positions:
Nd: 0.029 0.750 0.057
Nd: 0.201 0.319 0.402
Nd: 0.799 0.681 0.598
Nd: 0.409 0.547 0.817
Nd: 0.334 0.035 0.667
Nd: 0.971 0.250 0.943
Nd: 0.591 0.453 0.183
Nd: 0.666 0.965 0.333
Hg: 0.193 0.732 0.385
Hg: 0.807 0.268 0.615
Bi: 0.500 0.000 0.000

=====

No. 10
Entry from Alexandria: a geometry-optimized LiMnAu14 structure (PBE).

## Properties
DOS(E_F): 0.25 states/eV per atom
Volume: 17.7 A^3/atom
Total moment: 4.7 μB/cell
ΔE_f: -95 meV/atom

Cell: 5.973 5.973 7.918 Å, 90.00 90.00 90.00°
Last column: magnetic moment on the atom in μB.
Fractional positions:
Au: 0.375 0.875 0.000  0.03
Au: 0.375 0.875 0.500  0.04
Au: 0.375 0.375 0.000  -0.01
Au: 0.875 0.875 0.000  0.01
Au: 0.625 0.625 0.257  0.03
Au: 0.625 0.625 0.743  0.03
Au: 0.125 0.625 0.257  0.03
Au: 0.125 0.125 0.743  0.03
Au: 0.875 0.375 0.000  0.03
Au: 0.875 0.375 0.500  0.04
Au: 0.625 0.125 0.743  0.03
Au: 0.125 0.125 0.257  0.03
Au: 0.625 0.125 0.257  0.03
Au: 0.125 0.625 0.743  0.03
Li: 0.375 0.375 0.500  0.00
Mn: 0.875 0.875 0.500  4.11

=====

> The lowest DOS(E_F) belongs to which entry?

LiMnAu14

=====

Please write out number 7 again, unchanged.
Entry from Alexandria: a geometry-optimized Ho2TmCd5 structure (PBE).

## Properties
DOS(E_F): 0.44 states/eV per atom
Volume: 24.3 A^3/atom
Total moment: 0.0 μB/cell
ΔE_f: -286 meV/atom

Cell: 5.097 5.097 8.295 Å, 107.89 107.89 90.00°
Fractional positions:
Tm: 0.000 0.000 0.000
Ho: 0.741 0.741 0.481
Ho: 0.259 0.259 0.519
Cd: 0.619 0.119 0.238
Cd: 0.381 0.881 0.762
Cd: 0.500 0.500 0.000
Cd: 0.881 0.381 0.762
Cd: 0.119 0.619 0.238